No. 1
VASP calculation (PBEsol) on a geometry-optimized RbHgB2 structure.

Cell: 4.7618 4.7618 8.1524 Å, 106.98 106.98 90.00°
Closest atoms and distances in Å follow each position.
Sites, in units of the cell vectors:
1 Rb 0.5000 0.5000 0.0000  8 B 3.25, 4 Hg 3.37
2 B 0.1250 0.8750 0.2500  2 Hg 2.21, 2 B 2.38
3 Hg 0.0000 0.0000 0.0000  4 B 2.21
4 Rb 0.7500 0.2500 0.5000  8 B 3.25, 4 Hg 3.37
5 Hg 0.2500 0.7500 0.5000  4 B 2.21
6 B 0.1250 0.3750 0.2500  2 Hg 2.21, 2 B 2.38
7 B 0.6250 0.8750 0.7500  2 Hg 2.21, 2 B 2.38
8 B 0.1250 0.8750 0.7500  2 Hg 2.21, 2 B 2.38

- Total moment: 0.00 μB/f.u.
- DOS(E_F): 0.47 states/eV per atom
- Volume: 168 Å³/cell
- Space-group type: I4_1/amd
- Formation energy: 4.98 eV per formula unit

No. 2
VASP calculation (PBEsol) on a geometry-optimized Rb2HgB9Se9 structure.

Cell: 9.7955 10.6412 11.2877 Å, 102.35 90.70 117.47°
Closest atoms and distances in Å follow each position.
Sites, in units of the cell vectors:
1 B 0.5824 0.9449 0.5960  5 B 1.77-1.78
2 B 0.3323 0.8689 0.4115  5 B 1.77-1.78
3 Rb 0.7797 0.1609 0.0067  6 Se 3.40-3.81
4 Se 0.2547 0.7143 0.6513  2 B 1.96-2.00
5 Rb 0.8128 0.6535 0.4839  9 Se 3.62-4.02, 2 B 3.66-3.86
6 B 0.5111 0.9494 0.3509  5 B 1.76-1.78
7 Se 0.7453 0.2857 0.3487  2 B 1.96-2.00
8 B 0.4889 0.0506 0.6491  5 B 1.76-1.78
9 Rb 0.2203 0.8391 0.9933  6 Se 3.40-3.81
10 B 0.4176 0.0551 0.4040  5 B 1.77-1.78
11 B 0.2459 0.0821 0.7788  3 Se 1.93-1.97
12 Se 0.8451 0.9794 0.3930  2 B 1.97-2.00
13 Se 0.8857 0.8997 0.1003  1 B 1.93
14 B 0.2397 0.5627 0.2919  3 Se 1.93-1.97
15 Se 0.1143 0.1003 0.8997  1 B 1.93
16 Se 0.5456 0.8878 0.1789  2 B 1.95-2.00
17 B 0.5642 0.2752 0.2622  3 Se 1.93-1.97
18 B 0.3784 0.8679 0.5639  5 B 1.76-1.78
19 Rb 0.1872 0.3465 0.5161  9 Se 3.62-4.02, 2 B 3.66-3.86
20 Se 0.4544 0.1122 0.8211  2 B 1.95-2.00
21 B 0.4358 0.7248 0.7378  3 Se 1.93-1.97
22 Se 0.1549 0.0206 0.6070  2 B 1.97-2.00
23 B 0.7541 0.9179 0.2212  3 Se 1.93-1.97
24 B 0.6677 0.1311 0.5885  5 B 1.77-1.78
25 Se 0.8492 0.3035 0.6977  2 B 1.97-2.00
26 B 0.3346 0.0045 0.5368  5 B 1.77-1.78
27 B 0.6216 0.1321 0.4361  5 B 1.76-1.78
28 Se 0.1135 0.3605 0.2051  1 B 1.93
29 B 0.5145 0.1662 0.5511  5 B 1.76-1.78
30 B 0.7603 0.4373 0.7081  3 Se 1.93-1.97
31 Se 0.5541 0.3699 0.6240  2 B 1.95-1.99
32 Hg 0.3094 0.2961 0.0835  3 Se 2.56-2.63
33 Se 0.5995 0.3984 0.1500  1 B 1.93
34 B 0.4855 0.8338 0.4489  5 B 1.76-1.78
35 Se 0.6475 0.8590 0.7128  2 B 1.97-2.00
36 Se 0.1508 0.6965 0.3023  2 B 1.97-2.00
37 Se 0.4459 0.6301 0.3760  2 B 1.95-1.99
38 Se 0.4005 0.6016 0.8500  1 B 1.93
39 Se 0.3525 0.1410 0.2872  2 B 1.97-2.00
40 Hg 0.6906 0.7039 0.9165  3 Se 2.56-2.63
41 B 0.6654 0.9955 0.4632  5 B 1.77-1.78
42 Se 0.8865 0.6395 0.7949  1 B 1.93

- Total moment: 0.00 μB/f.u.
- DOS(E_F): 0.00 states/eV per atom
- Raw formation energy: -407.8 meV per atom
- Volume: 1011 Å³/cell
- Space-group type: P-1

No. 3
VASP calculation (PBEsol) on a geometry-optimized Rb2SiHgB structure.

Cell: 4.7387 6.6211 6.6211 Å, 90.00 90.00 90.00°
Closest atoms and distances in Å follow each position.
Sites, in units of the cell vectors:
1 Rb 0.0000 0.0000 0.5000  2 Hg 3.31
2 Si 0.5000 0.0000 0.0000  2 Hg 2.37
3 Rb 0.0000 0.5000 0.0000  2 Hg 3.31
4 B 0.5000 0.5000 0.5000  8 Rb 4.07
5 Hg 0.0000 0.0000 0.0000  2 Si 2.37

- Total moment: 1.20 μB/f.u.
- DOS(E_F): 0.82 states/eV per atom
- Raw formation energy: 1205.8 meV per atom
- Volume: 208 Å³/cell
- Space-group type: P4/mmm

No. 4
VASP calculation (PBEsol) on a geometry-optimized HgB2Rh structure.

Cell: 5.0324 5.0324 5.9275 Å, 115.12 115.12 90.00°
Closest atoms and distances in Å follow each position.
Sites, in units of the cell vectors:
1 Hg 0.0000 0.0000 0.0000  4 B 2.32
2 Rh 0.5000 0.5000 0.0000  4 B 1.98
3 B 0.1250 0.1825 0.7500  2 Rh 1.98
4 B 0.4325 0.8750 0.2500  2 Rh 1.98
5 B 0.6250 0.5675 0.7500  2 Rh 1.98
6 B 0.8175 0.3750 0.2500  2 Rh 1.98
7 Rh 0.7500 0.2500 0.5000  4 B 1.98
8 Hg 0.2500 0.7500 0.5000  4 B 2.32

- Total moment: 0.00 μB/f.u.
- DOS(E_F): 0.35 states/eV per atom
- Volume: 120 Å³/cell
- Space-group type: I-42d
- Formation energy: 2.66 eV per formula unit

Please write out number 2 again, unchanged.
VASP calculation (PBEsol) on a geometry-optimized Rb2HgB9Se9 structure.

Cell: 9.7955 10.6412 11.2877 Å, 102.35 90.70 117.47°
Closest atoms and distances in Å follow each position.
Sites, in units of the cell vectors:
1 B 0.5824 0.9449 0.5960  5 B 1.77-1.78
2 B 0.3323 0.8689 0.4115  5 B 1.77-1.78
3 Rb 0.7797 0.1609 0.0067  6 Se 3.40-3.81
4 Se 0.2547 0.7143 0.6513  2 B 1.96-2.00
5 Rb 0.8128 0.6535 0.4839  9 Se 3.62-4.02, 2 B 3.66-3.86
6 B 0.5111 0.9494 0.3509  5 B 1.76-1.78
7 Se 0.7453 0.2857 0.3487  2 B 1.96-2.00
8 B 0.4889 0.0506 0.6491  5 B 1.76-1.78
9 Rb 0.2203 0.8391 0.9933  6 Se 3.40-3.81
10 B 0.4176 0.0551 0.4040  5 B 1.77-1.78
11 B 0.2459 0.0821 0.7788  3 Se 1.93-1.97
12 Se 0.8451 0.9794 0.3930  2 B 1.97-2.00
13 Se 0.8857 0.8997 0.1003  1 B 1.93
14 B 0.2397 0.5627 0.2919  3 Se 1.93-1.97
15 Se 0.1143 0.1003 0.8997  1 B 1.93
16 Se 0.5456 0.8878 0.1789  2 B 1.95-2.00
17 B 0.5642 0.2752 0.2622  3 Se 1.93-1.97
18 B 0.3784 0.8679 0.5639  5 B 1.76-1.78
19 Rb 0.1872 0.3465 0.5161  9 Se 3.62-4.02, 2 B 3.66-3.86
20 Se 0.4544 0.1122 0.8211  2 B 1.95-2.00
21 B 0.4358 0.7248 0.7378  3 Se 1.93-1.97
22 Se 0.1549 0.0206 0.6070  2 B 1.97-2.00
23 B 0.7541 0.9179 0.2212  3 Se 1.93-1.97
24 B 0.6677 0.1311 0.5885  5 B 1.77-1.78
25 Se 0.8492 0.3035 0.6977  2 B 1.97-2.00
26 B 0.3346 0.0045 0.5368  5 B 1.77-1.78
27 B 0.6216 0.1321 0.4361  5 B 1.76-1.78
28 Se 0.1135 0.3605 0.2051  1 B 1.93
29 B 0.5145 0.1662 0.5511  5 B 1.76-1.78
30 B 0.7603 0.4373 0.7081  3 Se 1.93-1.97
31 Se 0.5541 0.3699 0.6240  2 B 1.95-1.99
32 Hg 0.3094 0.2961 0.0835  3 Se 2.56-2.63
33 Se 0.5995 0.3984 0.1500  1 B 1.93
34 B 0.4855 0.8338 0.4489  5 B 1.76-1.78
35 Se 0.6475 0.8590 0.7128  2 B 1.97-2.00
36 Se 0.1508 0.6965 0.3023  2 B 1.97-2.00
37 Se 0.4459 0.6301 0.3760  2 B 1.95-1.99
38 Se 0.4005 0.6016 0.8500  1 B 1.93
39 Se 0.3525 0.1410 0.2872  2 B 1.97-2.00
40 Hg 0.6906 0.7039 0.9165  3 Se 2.56-2.63
41 B 0.6654 0.9955 0.4632  5 B 1.77-1.78
42 Se 0.8865 0.6395 0.7949  1 B 1.93

- Total moment: 0.00 μB/f.u.
- DOS(E_F): 0.00 states/eV per atom
- Raw formation energy: -407.8 meV per atom
- Volume: 1011 Å³/cell
- Space-group type: P-1

Copy entry 2 word for word.
VASP calculation (PBEsol) on a geometry-optimized Rb2HgB9Se9 structure.

Cell: 9.7955 10.6412 11.2877 Å, 102.35 90.70 117.47°
Closest atoms and distances in Å follow each position.
Sites, in units of the cell vectors:
1 B 0.5824 0.9449 0.5960  5 B 1.77-1.78
2 B 0.3323 0.8689 0.4115  5 B 1.77-1.78
3 Rb 0.7797 0.1609 0.0067  6 Se 3.40-3.81
4 Se 0.2547 0.7143 0.6513  2 B 1.96-2.00
5 Rb 0.8128 0.6535 0.4839  9 Se 3.62-4.02, 2 B 3.66-3.86
6 B 0.5111 0.9494 0.3509  5 B 1.76-1.78
7 Se 0.7453 0.2857 0.3487  2 B 1.96-2.00
8 B 0.4889 0.0506 0.6491  5 B 1.76-1.78
9 Rb 0.2203 0.8391 0.9933  6 Se 3.40-3.81
10 B 0.4176 0.0551 0.4040  5 B 1.77-1.78
11 B 0.2459 0.0821 0.7788  3 Se 1.93-1.97
12 Se 0.8451 0.9794 0.3930  2 B 1.97-2.00
13 Se 0.8857 0.8997 0.1003  1 B 1.93
14 B 0.2397 0.5627 0.2919  3 Se 1.93-1.97
15 Se 0.1143 0.1003 0.8997  1 B 1.93
16 Se 0.5456 0.8878 0.1789  2 B 1.95-2.00
17 B 0.5642 0.2752 0.2622  3 Se 1.93-1.97
18 B 0.3784 0.8679 0.5639  5 B 1.76-1.78
19 Rb 0.1872 0.3465 0.5161  9 Se 3.62-4.02, 2 B 3.66-3.86
20 Se 0.4544 0.1122 0.8211  2 B 1.95-2.00
21 B 0.4358 0.7248 0.7378  3 Se 1.93-1.97
22 Se 0.1549 0.0206 0.6070  2 B 1.97-2.00
23 B 0.7541 0.9179 0.2212  3 Se 1.93-1.97
24 B 0.6677 0.1311 0.5885  5 B 1.77-1.78
25 Se 0.8492 0.3035 0.6977  2 B 1.97-2.00
26 B 0.3346 0.0045 0.5368  5 B 1.77-1.78
27 B 0.6216 0.1321 0.4361  5 B 1.76-1.78
28 Se 0.1135 0.3605 0.2051  1 B 1.93
29 B 0.5145 0.1662 0.5511  5 B 1.76-1.78
30 B 0.7603 0.4373 0.7081  3 Se 1.93-1.97
31 Se 0.5541 0.3699 0.6240  2 B 1.95-1.99
32 Hg 0.3094 0.2961 0.0835  3 Se 2.56-2.63
33 Se 0.5995 0.3984 0.1500  1 B 1.93
34 B 0.4855 0.8338 0.4489  5 B 1.76-1.78
35 Se 0.6475 0.8590 0.7128  2 B 1.97-2.00
36 Se 0.1508 0.6965 0.3023  2 B 1.97-2.00
37 Se 0.4459 0.6301 0.3760  2 B 1.95-1.99
38 Se 0.4005 0.6016 0.8500  1 B 1.93
39 Se 0.3525 0.1410 0.2872  2 B 1.97-2.00
40 Hg 0.6906 0.7039 0.9165  3 Se 2.56-2.63
41 B 0.6654 0.9955 0.4632  5 B 1.77-1.78
42 Se 0.8865 0.6395 0.7949  1 B 1.93

- Total moment: 0.00 μB/f.u.
- DOS(E_F): 0.00 states/eV per atom
- Raw formation energy: -407.8 meV per atom
- Volume: 1011 Å³/cell
- Space-group type: P-1